# Al2ReSe

An optimized crystal structure of Al2ReSe (PBE, Alexandria via LeMat-Bulk).

a b c (Å): 4.737 4.737 4.737
angles (deg): 128.55 128.55 75.74
Element x y z (fractional)
Al 0.000 0.000 0.000
Al 0.750 0.250 0.500
Re 0.250 0.750 0.500
Se 0.500 0.500 0.000

final energy: -22.033 eV for the cell shown
density of states at the Fermi level: 0.758 states/eV/atom
theoretical density: 8.38 g/cm³



# Al2SbIr

An optimized crystal structure of Al2SbIr (PBE, Alexandria via LeMat-Bulk).

a b c (Å): 4.546 3.222 5.155
angles (deg): 90.00 111.92 90.00
Element x y z (fractional)
Al 0.000 0.000 0.000
Al 0.000 0.500 0.500
Sb 0.500 0.000 0.500
Ir 0.500 0.500 0.000

final energy: -20.478 eV for the cell shown
density of states at the Fermi level: 0.387 states/eV/atom
theoretical density: 8.72 g/cm³



# Na2Tl5Sn5

An optimized crystal structure of Na2Tl5Sn5 (PBE, Alexandria via LeMat-Bulk).

a b c (Å): 7.193 7.193 10.911
angles (deg): 112.42 112.42 41.42
Element x y z (fractional)
Na 0.084 0.084 0.251
Na 0.916 0.916 0.749
Tl 0.000 0.000 0.500
Tl 0.159 0.159 0.994
Tl 0.250 0.250 0.750
Tl 0.750 0.750 0.250
Tl 0.841 0.841 0.006
Sn 0.330 0.330 0.502
Sn 0.419 0.419 0.257
Sn 0.500 0.500 0.000
Sn 0.581 0.581 0.743
Sn 0.670 0.670 0.498

final energy: -35.027 eV for the cell shown
density of states at the Fermi level: 0.418 states/eV/atom
formation energy from the elements: -0.0453 eV/atom
theoretical density: 8.09 g/cm³



# Li3Sn2Au

An optimized crystal structure of Li3Sn2Au (PBE, Alexandria via LeMat-Bulk).

a b c (Å): 10.354 10.343 4.786
angles (deg): 76.77 76.50 26.74
Element x y z (fractional)
Li 0.125 0.125 0.125
Li 0.205 0.205 0.545
Li 0.455 0.455 0.795
Li 0.545 0.545 0.205
Li 0.795 0.795 0.455
Li 0.875 0.875 0.875
Sn 0.046 0.046 0.704
Sn 0.296 0.296 0.954
Sn 0.704 0.704 0.046
Sn 0.954 0.954 0.296
Au 0.375 0.375 0.375
Au 0.625 0.625 0.625

final energy: -39.249 eV for the cell shown
distance to the lowest polymorph of the same formula: 0 meV/atom
density of states at the Fermi level: 0.100 states/eV/atom
formation energy from the elements: -0.4333 eV/atom
theoretical density: 6.75 g/cm³



# La2MgSb4Pt3

An optimized crystal structure of La2MgSb4Pt3 (PBE, Alexandria via LeMat-Bulk).

a b c (Å): 4.577 4.577 11.410
angles (deg): 90.00 90.00 90.00
Element x y z (fractional)
La 0.000 0.500 0.249
La 0.500 0.000 0.751
Mg 0.000 0.000 0.500
Sb 0.000 0.000 0.000
Sb 0.000 0.500 0.641
Sb 0.500 0.000 0.359
Sb 0.500 0.500 0.000
Pt 0.000 0.500 0.871
Pt 0.500 0.000 0.129
Pt 0.500 0.500 0.500

final energy: -54.385 eV for the cell shown
density of states at the Fermi level: 0.386 states/eV/atom
theoretical density: 9.55 g/cm³



# Ac3CeN4

An optimized crystal structure of Ac3CeN4 (PBE, Alexandria via LeMat-Bulk).

a b c (Å): 10.730 5.456 5.461
angles (deg): 90.00 90.00 90.00
Element x y z (fractional)
Ac 0.000 0.250 0.000
Ac 0.250 0.250 0.501
Ac 0.250 0.750 0.001
Ac 0.500 0.750 0.500
Ac 0.750 0.250 0.501
Ac 0.750 0.750 0.001
Ce 0.000 0.731 0.518
Ce 0.500 0.269 0.018
N 0.000 0.305 0.499
N 0.000 0.743 0.943
N 0.229 0.753 0.500
N 0.271 0.247 0.000
N 0.500 0.257 0.443
N 0.500 0.695 0.999
N 0.729 0.247 0.000
N 0.771 0.753 0.500

final energy: -121.617 eV for the cell shown
distance to the lowest polymorph of the same formula: 0 meV/atom
density of states at the Fermi level: 0.518 states/eV/atom
theoretical density: 9.11 g/cm³



# AlBi3Pd12

An optimized crystal structure of AlBi3Pd12 (PBE, Alexandria via LeMat-Bulk).

a b c (Å): 4.093 4.093 16.245
angles (deg): 90.00 90.00 90.00
Element x y z (fractional)
Al 0.000 0.000 0.000
Bi 0.000 0.000 0.239
Bi 0.000 0.000 0.500
Bi 0.000 0.000 0.761
Pd 0.000 0.500 0.112
Pd 0.000 0.500 0.371
Pd 0.000 0.500 0.629
Pd 0.000 0.500 0.888
Pd 0.500 0.000 0.112
Pd 0.500 0.000 0.371
Pd 0.500 0.000 0.629
Pd 0.500 0.000 0.888
Pd 0.500 0.500 0.000
Pd 0.500 0.500 0.245
Pd 0.500 0.500 0.500
Pd 0.500 0.500 0.755

final energy: -83.134 eV for the cell shown
density of states at the Fermi level: 0.387 states/eV/atom
formation energy from the elements: -0.3397 eV/atom
theoretical density: 11.78 g/cm³



# Ac6Sn3Hg2

An optimized crystal structure of Ac6Sn3Hg2 (PBE, Alexandria via LeMat-Bulk).

a b c (Å): 15.929 15.929 15.929
angles (deg): 160.84 160.84 27.23
Element x y z (fractional)
Ac 0.070 0.570 0.500
Ac 0.227 0.227 0.000
Ac 0.430 0.930 0.500
Ac 0.570 0.070 0.500
Ac 0.773 0.773 0.000
Ac 0.930 0.430 0.500
Sn 0.339 0.339 0.000
Sn 0.500 0.500 0.000
Sn 0.661 0.661 0.000
Hg 0.129 0.129 0.000
Hg 0.871 0.871 0.000

final energy: -39.270 eV for the cell shown
density of states at the Fermi level: 1.163 states/eV/atom
formation energy from the elements: -0.1825 eV/atom
theoretical density: 8.08 g/cm³



Q: Among the records above, which one has the lowest theoretical density?
A: Li3Sn2Au



What did the eighth record say?
# Ac6Sn3Hg2

An optimized crystal structure of Ac6Sn3Hg2 (PBE, Alexandria via LeMat-Bulk).

a b c (Å): 15.929 15.929 15.929
angles (deg): 160.84 160.84 27.23
Element x y z (fractional)
Ac 0.070 0.570 0.500
Ac 0.227 0.227 0.000
Ac 0.430 0.930 0.500
Ac 0.570 0.070 0.500
Ac 0.773 0.773 0.000
Ac 0.930 0.430 0.500
Sn 0.339 0.339 0.000
Sn 0.500 0.500 0.000
Sn 0.661 0.661 0.000
Hg 0.129 0.129 0.000
Hg 0.871 0.871 0.000

final energy: -39.270 eV for the cell shown
density of states at the Fermi level: 1.163 states/eV/atom
formation energy from the elements: -0.1825 eV/atom
theoretical density: 8.08 g/cm³